Density functional theory data (PBE-GGA) for a relaxed structure of RbTiAl.

Properties
M_tot, μB/atom: 0.26
Polymorph energy (0 for the lowest one), meV per atom: 266.4
Energy, eV per atom: -3.82
Space group: Pnma, No. 62

Cell lengths 5.009, 5.032, 14.275 Å; angles 90.00, 90.00, 90.00 degrees
Each line ends with the local moment (μB).
Atoms (fractional coordinates):
Al  0.752  0.250  0.785  -0.01
Al  0.248  0.750  0.215  -0.01
Al  0.748  0.750  0.285  -0.01
Al  0.252  0.250  0.715  -0.01
Rb  0.250  0.250  0.968  0.02
Rb  0.750  0.250  0.532  0.02
Rb  0.750  0.750  0.032  0.02
Rb  0.250  0.750  0.468  0.02
Ti  0.498  0.250  0.250  0.42
Ti  0.998  0.250  0.250  0.42
Ti  0.002  0.750  0.750  0.42
Ti  0.502  0.750  0.750  0.42